No. 1
SrTl2Te2O6: relaxed, GGA-PBE.

## Properties
Space-group type ... No. 12
Raw formation energy ... -1368 meV/atom
Crystal system ... monoclinic

abc: 6.5746 6.1988 8.1474
angles: 102.75 90.00 122.03
Fractional coordinates of all 11 atoms:
1 Sr 0.5000 0.0000 0.5000
2 Tl 0.7754 0.5508 0.2675
3 Tl 0.2246 0.4492 0.7325
4 Te 0.9021 0.8043 0.7620
5 Te 0.0979 0.1957 0.2380
6 O 0.7517 0.5034 0.5744
7 O 0.2127 0.9945 0.2910
8 O 0.2182 0.0055 0.7090
9 O 0.7873 0.0055 0.7090
10 O 0.7818 0.9945 0.2910
11 O 0.2483 0.4966 0.4256

***

No. 2
Pr3Y4Al4: relaxed, GGA-PBE.

## Properties
Space-group type ... No. 71
Formation enthalpy at 0 K ... -0.2053 eV/atom
Crystal system ... orthorhombic

abc: 5.1661 7.1639 9.5729
angles: 111.97 105.65 90.00
Fractional coordinates of all 11 atoms:
1 Pr 0.1057 0.1057 0.2114
2 Pr 0.8943 0.8943 0.7886
3 Pr 0.0000 0.5000 0.0000
4 Y 0.3222 0.0942 0.6445
5 Y 0.6778 0.4497 0.3555
6 Y 0.6778 0.9058 0.3555
7 Y 0.3222 0.5503 0.6445
8 Al 0.1835 0.6835 0.3670
9 Al 0.8165 0.3165 0.6330
10 Al 0.5000 0.8104 0.0000
11 Al 0.5000 0.1896 0.0000

***

No. 3
La2MgPbO6: relaxed, GGA-PBE.

## Properties
Space-group type ... No. 14
Raw formation energy ... -2542 meV/atom
Crystal system ... monoclinic

abc: 5.7360 5.9343 8.2631
angles: 90.00 90.39 90.00
Fractional coordinates of all 20 atoms:
1 La 0.0160 0.9468 0.2496
2 La 0.5160 0.5532 0.7496
3 La 0.9840 0.0532 0.7504
4 La 0.4840 0.4468 0.2504
5 Mg 0.5000 0.0000 0.5000
6 Mg 0.0000 0.5000 0.0000
7 Pb 0.5000 0.0000 0.0000
8 Pb 0.0000 0.5000 0.5000
9 O 0.2968 0.6955 0.0596
10 O 0.7968 0.8045 0.5596
11 O 0.7032 0.3045 0.9404
12 O 0.2032 0.1955 0.4404
13 O 0.3069 0.7038 0.4403
14 O 0.8069 0.7962 0.9403
15 O 0.6931 0.2962 0.5597
16 O 0.1931 0.2038 0.0597
17 O 0.8878 0.5440 0.2447
18 O 0.3878 0.9560 0.7447
19 O 0.1122 0.4560 0.7553
20 O 0.6122 0.0440 0.2553

***

No. 4
BaNaB3: relaxed, GGA-PBE.

## Properties
Space-group type ... No. 221
Formation enthalpy at 0 K ... 2.4692 eV/atom
Crystal system ... cubic

abc: 5.1700 5.1700 5.1700
angles: 90.00 90.00 90.00
Fractional coordinates of all 5 atoms:
1 Na 0.5000 0.5000 0.5000
2 B 0.0000 0.5000 0.0000
3 B 0.0000 0.0000 0.5000
4 B 0.5000 0.0000 0.0000
5 Ba 0.0000 0.0000 0.0000

***

No. 5
KCaAsO12: relaxed, GGA-PBE.

## Properties
Space-group type ... No. 38
Raw formation energy ... -755 meV/atom
Crystal system ... orthorhombic

abc: 9.2264 9.2264 4.9053
angles: 90.00 90.00 142.45
Last column: magnetic moment on the atom in μB.
Fractional coordinates of all 15 atoms:
1 K 0.5541 0.4459 0.5000  0.00
2 Ca 0.2629 0.7371 0.5000  0.01
3 As 0.0930 0.9070 0.0000  0.01
4 O 0.1608 0.8392 0.2583  0.05
5 O 0.1608 0.8392 0.7417  0.05
6 O 0.7996 0.7180 0.0000  -0.10
7 O 0.2820 0.2004 0.0000  -0.10
8 O 0.3864 0.6136 0.1263  -0.35
9 O 0.3864 0.6136 0.8737  -0.35
10 O 0.0412 0.1662 0.5000  0.79
11 O 0.8338 0.9588 0.5000  0.79
12 O 0.5816 0.9850 0.1284  0.40
13 O 0.0150 0.4184 0.8716  0.40
14 O 0.5816 0.9850 0.8716  0.40
15 O 0.0150 0.4184 0.1284  0.40

***

No. 6
Rb2In4Pb5: relaxed, GGA-PBE.

## Properties
Space-group type ... No. 69
Formation enthalpy at 0 K ... -0.0358 eV/atom
Crystal system ... orthorhombic

abc: 7.1651 6.9824 10.0162
angles: 79.43 69.04 59.13
Fractional coordinates of all 11 atoms:
1 Rb 0.8683 0.0000 0.2634
2 Rb 0.1317 0.0000 0.7366
3 In 0.5027 0.2743 0.7203
4 In 0.4973 0.7257 0.2797
5 In 0.2230 0.2743 0.2797
6 In 0.7770 0.7257 0.7203
7 Pb 0.5000 0.0000 0.0000
8 Pb 0.0000 0.5000 0.0000
9 Pb 0.5000 0.5000 0.0000
10 Pb 0.2500 0.5000 0.5000
11 Pb 0.7500 0.5000 0.5000

***

No. 7
Tb2PuCoN4: relaxed, GGA-PBE.

## Properties
Space-group type ... No. 63
Raw formation energy ... -1000 meV/atom
Crystal system ... orthorhombic

abc: 3.3363 5.8436 11.5984
angles: 90.00 90.00 106.59
Last column: magnetic moment on the atom in μB.
Fractional coordinates of all 16 atoms:
1 Tb 0.3689 0.7378 0.5519  -0.01
2 Tb 0.6311 0.2622 0.0519  -0.01
3 Tb 0.6311 0.2622 0.4481  -0.01
4 Tb 0.3689 0.7378 0.9481  -0.01
5 Pu 0.1092 0.2184 0.7500  4.42
6 Pu 0.8908 0.7816 0.2500  4.42
7 Co 0.8457 0.6915 0.7500  -1.03
8 Co 0.1543 0.3085 0.2500  -1.03
9 N 0.2774 0.5547 0.1351  -0.17
10 N 0.7226 0.4453 0.6351  -0.17
11 N 0.7226 0.4453 0.8649  -0.17
12 N 0.2774 0.5547 0.3649  -0.17
13 N 0.0000 0.0000 0.5000  -0.10
14 N 0.0000 0.0000 0.0000  -0.10
15 N 0.4456 0.8911 0.7500  -0.14
16 N 0.5544 0.1089 0.2500  -0.14

***

No. 8
Mg2HgBr: relaxed, GGA-PBE.

## Properties
Space-group type ... No. 225
Raw formation energy ... -140 meV/atom
Crystal system ... cubic

abc: 5.2670 5.2670 5.2670
angles: 60.00 60.00 60.00
Fractional coordinates of all 4 atoms:
1 Mg 0.2500 0.2500 0.2500
2 Mg 0.7500 0.7500 0.7500
3 Hg 0.5000 0.5000 0.5000
4 Br 0.0000 0.0000 0.0000

***

No. 9
Ca2TaOs: relaxed, GGA-PBE.

## Properties
Space-group type ... No. 10
Formation enthalpy at 0 K ... 0.6908 eV/atom
Crystal system ... monoclinic

abc: 5.1058 2.9076 5.8983
angles: 70.38 90.00 90.00
Fractional coordinates of all 4 atoms:
1 Ca 0.0000 0.0319 0.0093
2 Ca 0.0000 0.4681 0.4907
3 Os 0.5000 0.2500 0.2500
4 Ta 0.5000 0.7500 0.7500

***

No. 10
CeMg2Ag2Hg2: relaxed, GGA-PBE.

## Properties
Space-group type ... No. 166
Formation enthalpy at 0 K ... -0.1853 eV/atom
Crystal system ... trigonal

abc: 4.7677 4.7677 8.5311
angles: 73.77 73.77 60.00
Last column: magnetic moment on the atom in μB.
Fractional coordinates of all 7 atoms:
1 Ce 0.0000 0.0000 0.0000  0.90
2 Mg 0.1400 0.1400 0.5801  0.00
3 Mg 0.8600 0.8600 0.4199  0.00
4 Ag 0.5605 0.5605 0.3184  0.00
5 Ag 0.4395 0.4395 0.6816  0.00
6 Hg 0.7348 0.7348 0.7958  0.01
7 Hg 0.2652 0.2652 0.2042  0.01

***

No. 11
NaMgSb2Ru: relaxed, GGA-PBE.

## Properties
Space-group type ... No. 123
Raw formation energy ... 745 meV/atom
Crystal system ... tetragonal

abc: 5.3339 4.7695 5.3339
angles: 90.00 90.00 90.00
Last column: magnetic moment on the atom in μB.
Fractional coordinates of all 5 atoms:
1 Sb 0.0000 0.0000 0.5000  -0.02
2 Sb 0.5000 0.0000 0.0000  -0.02
3 Mg 0.0000 0.0000 0.0000  -0.01
4 Na 0.5000 0.5000 0.5000  0.00
5 Ru 0.0000 0.5000 0.0000  0.78

***

No. 12
HgRu: relaxed, GGA-PBE.

## Properties
Space-group type ... No. 129
Formation enthalpy at 0 K ... 0.7480 eV/atom
Crystal system ... tetragonal

abc: 3.4953 3.4953 6.7685
angles: 90.00 90.00 90.00
Fractional coordinates of all 4 atoms:
1 Hg 0.2500 0.2500 0.3545
2 Hg 0.7500 0.7500 0.6455
3 Ru 0.2500 0.7500 0.0000
4 Ru 0.7500 0.2500 0.0000

***

No. 13
Cs2ScAg2I6: relaxed, GGA-PBE.

## Properties
Space-group type ... No. 166
Raw formation energy ... -912 meV/atom
Crystal system ... trigonal

abc: 8.9277 8.9277 8.8775
angles: 59.81 59.81 60.00
Fractional coordinates of all 11 atoms:
1 Cs 0.7628 0.7628 0.7117
2 Cs 0.2372 0.2372 0.2883
3 Sc 0.0000 0.0000 0.0000
4 Ag 0.4356 0.4356 0.6932
5 Ag 0.5644 0.5644 0.3068
6 I 0.7675 0.7675 0.2461
7 I 0.2189 0.7675 0.2461
8 I 0.7675 0.2189 0.2461
9 I 0.2325 0.7811 0.7539
10 I 0.7811 0.2325 0.7539
11 I 0.2325 0.2325 0.7539

***

No. 14
Pr2Sm5Er2: relaxed, GGA-PBE.

## Properties
Space-group type ... No. 12
Formation enthalpy at 0 K ... 0.0940 eV/atom
Crystal system ... monoclinic

abc: 3.5470 14.6631 16.3304
angles: 22.28 89.98 96.93
Fractional coordinates of all 9 atoms:
1 Pr 0.4883 0.9763 0.3575
2 Pr 0.5117 0.0237 0.6425
3 Sm 0.1691 0.3385 0.2166
4 Sm 0.8309 0.6615 0.7834
5 Sm 0.1984 0.3973 0.4887
6 Sm 0.8016 0.6027 0.5113
7 Sm 0.0000 0.0000 0.0000
8 Er 0.1572 0.3133 0.9218
9 Er 0.8428 0.6867 0.0782

***

No. 15
Rb12Au6S: relaxed, GGA-PBE.

## Properties
Space-group type ... No. 148
Raw formation energy ... -311 meV/atom
Crystal system ... trigonal

abc: 10.0675 10.0675 10.0675
angles: 100.23 100.23 100.23
Fractional coordinates of all 19 atoms:
1 Rb 0.8180 0.5751 0.4256
2 Rb 0.4256 0.8180 0.5751
3 Rb 0.5751 0.4256 0.8180
4 Rb 0.1820 0.4249 0.5744
5 Rb 0.5744 0.1820 0.4249
6 Rb 0.4249 0.5744 0.1820
7 Rb 0.0636 0.9614 0.3113
8 Rb 0.0386 0.6887 0.9364
9 Rb 0.6887 0.9364 0.0386
10 Rb 0.9364 0.0386 0.6887
11 Rb 0.9614 0.3113 0.0636
12 Rb 0.3113 0.0636 0.9614
13 Au 0.6963 0.8736 0.3755
14 Au 0.6245 0.3037 0.1264
15 Au 0.1264 0.6245 0.3037
16 Au 0.3037 0.1264 0.6245
17 Au 0.3755 0.6963 0.8736
18 Au 0.8736 0.3755 0.6963
19 S 0.0000 0.0000 0.0000

***

No. 16
ZnAsN2O: relaxed, GGA-PBE.

## Properties
Space-group type ... No. 123
Raw formation energy ... 1382 meV/atom
Crystal system ... tetragonal

abc: 3.9275 3.9275 3.8106
angles: 90.00 90.00 90.00
Last column: magnetic moment on the atom in μB.
Fractional coordinates of all 5 atoms:
1 As 0.5000 0.5000 0.5000  -0.18
2 Zn 0.0000 0.0000 0.0000  0.04
3 O 0.0000 0.0000 0.5000  0.26
4 N 0.0000 0.5000 0.0000  0.64
5 N 0.5000 0.0000 0.0000  0.64

***

No. 17
LiSm2Pd3: relaxed, GGA-PBE.

## Properties
Space-group type ... No. 194
Formation enthalpy at 0 K ... -0.6042 eV/atom
Crystal system ... hexagonal

abc: 4.4628 4.4628 14.8320
angles: 90.00 90.00 120.00
Fractional coordinates of all 12 atoms:
1 Li 0.6667 0.3333 0.7500
2 Li 0.3333 0.6667 0.2500
3 Sm 0.0000 0.0000 0.6213
4 Sm 0.0000 0.0000 0.3787
5 Sm 0.0000 0.0000 0.1213
6 Sm 0.0000 0.0000 0.8787
7 Pd 0.6667 0.3333 0.2500
8 Pd 0.3333 0.6667 0.7500
9 Pd 0.6667 0.3333 0.5207
10 Pd 0.3333 0.6667 0.4793
11 Pd 0.3333 0.6667 0.0207
12 Pd 0.6667 0.3333 0.9793

***

No. 18
Th2P3Ir12Pd: relaxed, GGA-PBE.

## Properties
Space-group type ... No. 166
Formation enthalpy at 0 K ... 0.0072 eV/atom
Crystal system ... trigonal

abc: 7.3499 7.3499 7.3499
angles: 68.44 68.44 68.44
Fractional coordinates of all 18 atoms:
1 Th 0.6048 0.6048 0.6048
2 Th 0.3952 0.3952 0.3952
3 P 0.5000 0.0000 0.0000
4 P 0.0000 0.5000 0.0000
5 P 0.0000 0.0000 0.5000
6 Ir 0.3427 0.3427 0.9086
7 Ir 0.8581 0.8581 0.3756
8 Ir 0.3756 0.8581 0.8581
9 Ir 0.9086 0.3427 0.3427
10 Ir 0.8581 0.3756 0.8581
11 Ir 0.3427 0.9086 0.3427
12 Ir 0.6573 0.6573 0.0914
13 Ir 0.1419 0.1419 0.6244
14 Ir 0.6244 0.1419 0.1419
15 Ir 0.0914 0.6573 0.6573
16 Ir 0.1419 0.6244 0.1419
17 Ir 0.6573 0.0914 0.6573
18 Pd 0.0000 0.0000 0.0000

***

No. 19
NdGePt4: relaxed, GGA-PBE.

## Properties
Space-group type ... No. 51
Formation enthalpy at 0 K ... -0.7264 eV/atom
Crystal system ... orthorhombic

abc: 4.0299 7.0560 7.7138
angles: 90.00 90.00 90.00
Fractional coordinates of all 12 atoms:
1 Nd 0.0000 0.6361 0.7500
2 Nd 0.0000 0.3639 0.2500
3 Ge 0.0000 0.2194 0.7500
4 Ge 0.0000 0.7806 0.2500
5 Pt 0.0000 0.0000 0.5000
6 Pt 0.0000 0.0000 0.0000
7 Pt 0.5000 0.9526 0.7500
8 Pt 0.5000 0.0474 0.2500
9 Pt 0.5000 0.6933 0.0500
10 Pt 0.5000 0.3067 0.9500
11 Pt 0.5000 0.6933 0.4500
12 Pt 0.5000 0.3067 0.5500

***

No. 20
AlCr2Mo: relaxed, GGA-PBE.

## Properties
Space-group type ... No. 65
Formation enthalpy at 0 K ... 0.0432 eV/atom
Crystal system ... orthorhombic

abc: 2.6221 2.6221 8.3194
angles: 90.00 90.00 108.65
Fractional coordinates of all 4 atoms:
1 Cr 0.0000 0.0000 0.9977
2 Cr 0.0000 0.0000 0.5023
3 Mo 0.5000 0.5000 0.2500
4 Al 0.5000 0.5000 0.7500

***

No. 21
KTl2Cd2: relaxed, GGA-PBE.

## Properties
Space-group type ... No. 2
Formation enthalpy at 0 K ... -0.0437 eV/atom
Crystal system ... triclinic

abc: 5.7299 6.8801 8.1106
angles: 81.41 84.08 80.71
Fractional coordinates of all 10 atoms:
1 K 0.7500 0.7500 0.2500
2 K 0.2500 0.2500 0.7500
3 Tl 0.2984 0.7280 0.9643
4 Tl 0.7983 0.2279 0.4643
5 Tl 0.7016 0.2720 0.0357
6 Tl 0.2017 0.7721 0.5357
7 Cd 0.2976 0.4275 0.3128
8 Cd 0.7977 0.9275 0.8128
9 Cd 0.2023 0.0725 0.1872
10 Cd 0.7024 0.5725 0.6872

***

No. 22
Ac6As3P2Br: relaxed, GGA-PBE.

## Properties
Space-group type ... No. 12
Raw formation energy ... -1496 meV/atom
Crystal system ... monoclinic

abc: 4.5020 9.0319 10.0491
angles: 102.51 102.94 90.00
Fractional coordinates of all 12 atoms:
1 Ac 0.3260 0.9060 0.6520
2 Ac 0.6689 0.5794 0.3379
3 Ac 0.6740 0.0940 0.3480
4 Ac 0.0031 0.2696 0.0062
5 Ac 0.9969 0.7304 0.9938
6 Ac 0.3311 0.4206 0.6621
7 As 0.5000 0.5000 0.0000
8 As 0.8373 0.1648 0.6746
9 As 0.1627 0.8352 0.3254
10 P 0.8343 0.6696 0.6687
11 P 0.1657 0.3304 0.3313
12 Br 0.5000 0.0000 0.0000